Below is a relaxed Nd2Ni2Sn crystal, with properties calculated at the GGA-PBEsol level.

Output
Magnetic moment (μB/atom): 0.000
Calculated formation energy (eV/atom): -0.534
Calculated volume (Å³ per cell): 206

Unit cell a=4.2702 b=5.6608 c=8.5122 alpha=90.00 beta=90.00 gamma=90.00
Space group Immm (No. 71)
Unique sites:
Nd (0.0000, 0.0000, 0.2025)
Ni (0.0000, 0.2884, 0.5000)
Sn (0.0000, 0.5000, 0.0000)


Below is a relaxed Nd3NiSn7 crystal, with properties calculated at the GGA-PBEsol level.

Output
Magnetic moment (μB/atom): 0.000
Calculated formation energy (eV/atom): -0.646
Calculated volume (Å³ per cell): 544

Unit cell a=4.4998 b=4.4895 c=26.9459 alpha=90.00 beta=90.00 gamma=90.00
Space group Amm2 (No. 38)
Unique sites:
Nd (0.0000, 0.0000, 0.0000)
Nd (0.0000, 0.0000, 0.3717)
Nd (0.5000, 0.0000, 0.6855)
Ni (0.5000, 0.0000, 0.5566)
Sn (0.0000, 0.0000, 0.1885)
Sn (0.0000, 0.0000, 0.5960)
Sn (0.0000, 0.0000, 0.7810)
Sn (0.5000, 0.0000, 0.0958)
Sn (0.5000, 0.0000, 0.2812)
Sn (0.5000, 0.0000, 0.4651)
Sn (0.5000, 0.0000, 0.8957)


Below is a relaxed NdNi2Sn2 crystal, with properties calculated at the GGA-PBEsol level.

Output
Magnetic moment (μB/atom): 0.000
Calculated formation energy (eV/atom): -0.573
Calculated volume (Å³ per cell): 192

Unit cell a=4.3803 b=4.3803 c=10.0299 alpha=90.00 beta=90.00 gamma=90.00
Space group P4/nmm (No. 129, origin choice 2)
Unique sites:
Nd (0.2500, 0.2500, 0.2398)
Ni (0.2500, 0.2500, 0.6279)
Ni (0.2500, 0.7500, 0.0000)
Sn (0.2500, 0.2500, 0.8749)
Sn (0.2500, 0.7500, 0.5000)


Below is a relaxed NdNi5Sn crystal, with properties calculated at the GGA-PBEsol level.

Output
Magnetic moment (μB/atom): 0.001
Calculated formation energy (eV/atom): -0.353
Calculated volume (Å³ per cell): 395

Unit cell a=4.8458 b=4.8458 c=19.4402 alpha=90.00 beta=90.00 gamma=120.00
Space group P6_3/mmc (No. 194)
Unique sites:
Nd (0.0000, 0.0000, 0.0000)
Nd (0.3333, 0.6667, 0.2500)
Ni (0.0000, 0.0000, 0.2500)
Ni (0.1660, 0.3321, 0.6464)
Ni (0.3333, 0.6667, 0.5437)
Ni (0.3333, 0.6667, 0.7500)
Sn (0.3333, 0.6667, 0.0874)